No. 1
Entry from Alexandria via LeMat-Bulk: crystalline CaMg3Rh at its relaxed geometry (GGA-PBE).

Cell: 5.5835 5.5835 5.5835 Å, 90.00 90.00 90.00°
Last column: nearest neighbours and their distance in Å.
Positions (direct):
Ca1 0.0000 0.0000 0.0000  6 Mg 2.79
Mg1 0.0000 0.0000 0.5000  2 Ca 2.79
Mg2 0.0000 0.5000 0.0000  2 Ca 2.79
Mg3 0.5000 0.0000 0.0000  2 Ca 2.79
Rh1 0.5000 0.5000 0.5000  12 Mg 3.95

As for the symmetry: Pm-3m. The energy of formation from the pure elements is 1.53 eV per atom. Its excess energy over the best structure of this formula in the dataset is 1806 meV per atom. The value obtained for the uncorrected energy is -1.30 eV/atom. As for the mass density: 2.06 g/cm³.

---

No. 2
Entry from Alexandria via LeMat-Bulk: crystalline Cs4BaPu3O12 at its relaxed geometry (GGA-PBE).

Cell: 7.8196 7.8196 7.8196 Å, 109.47 109.47 109.47°
Last column: nearest neighbours and their distance in Å.
Positions (direct):
Cs1 0.0000 0.0000 0.5000  12 O 3.19-3.21
Cs2 0.0000 0.5000 0.0000  12 O 3.19-3.21
Cs3 0.5000 0.0000 0.0000  12 O 3.19-3.21
Cs4 0.5000 0.5000 0.5000  12 O 3.19-3.21
Ba1 0.0000 0.0000 0.0000  6 O 2.61
Pu1 0.0000 0.5000 0.5000  2 O 1.90
Pu2 0.5000 0.0000 0.5000  2 O 1.90
Pu3 0.5000 0.5000 0.0000  2 O 1.90
O1 0.0000 0.2895 0.2895  1 Pu 1.90
O2 0.0000 0.7105 0.7105  1 Pu 1.90
O3 0.2500 0.5000 0.7500  2 Pu 2.26
O4 0.2500 0.7500 0.5000  2 Pu 2.26
O5 0.2895 0.0000 0.2895  1 Pu 1.90
O6 0.2895 0.2895 0.0000  1 Pu 1.90
O7 0.5000 0.2500 0.7500  2 Pu 2.26
O8 0.5000 0.7500 0.2500  2 Pu 2.26
O9 0.7105 0.0000 0.7105  1 Pu 1.90
O10 0.7105 0.7105 0.0000  1 Pu 1.90
O11 0.7500 0.2500 0.5000  2 Pu 2.26
O12 0.7500 0.5000 0.2500  2 Pu 2.26

As for the symmetry: Im-3m. The value obtained for the uncorrected energy is -7.79 eV/atom. The uncorrected formation energy comes out at -2.395 eV per atom. As for the mass density: 7.19 g/cm³.